Here is V4O7F5 after structural relaxation from Alexandria via LeMat-Bulk. Energies are from GGA+U.

Output
Its total energy is -6.452 eV/atom. The relative energy among the computed polymorphs is 287 meV per atom.

```
V4O7F5
1.0
5.7371 0.0000 0.0000
-2.5508 5.4203 0.0000
-2.3350 -2.0961 8.2832
V O F
4 7 5
Direct
0.0000 0.0000 0.0000
0.0291 0.6361 0.5844
0.1300 0.5677 0.2129
0.6228 0.0270 0.1855
0.1120 0.9422 0.7123
0.1332 0.6884 0.4158
0.2163 0.8729 0.1123
0.5513 0.7305 0.2844
0.6552 0.9811 0.3888
0.6616 0.8752 0.0063
0.9125 0.8393 0.7912
0.0497 0.2118 0.2510
0.1132 0.3485 0.0031
0.2103 0.5071 0.7092
0.6673 0.4260 0.4935
0.6938 0.3513 0.1330
```